A relaxed structure of KBaSi2H, computed with PBE-GGA.

DOS at the Fermi energy	1.46	states/eV/cell
raw total energy	-3.0955	eV/atom
spin magnetization	0.00	μB/cell

Structure (extended XYZ):
```
5
Lattice="4.676 0.000 0.000 0.000 4.676 0.000 0.000 0.000 5.117" Properties=species:S:1:pos:R:3 pbc="T T T"
K 0.000 0.000 0.000
Ba 2.338 2.338 0.000
Si 0.000 2.338 2.559
Si 2.338 0.000 2.559
H 0.000 0.000 2.559
```